[1]
Material: UPa2V
Method: DFT, PBE
State: optimized geometry

Calculated values
distance to the lowest polymorph of the same formula	0	meV/atom
D(E_F)	10.1	states/eV/cell
formation enthalpy at 0 K	0.185	eV/atom
final energy	-9.665	eV/atom
space group	P4/mmm (123)

Lattice parameters (Å, degrees): 3.133 5.184 5.184 90.00 90.00 90.00
Atoms (fractional coordinates):
Pa 0.000 0.500 0.000
Pa 0.000 0.000 0.500
V 0.500 0.000 0.000
U 0.500 0.500 0.500

***

[2]
Material: UPaV
Method: DFT, PBE
State: optimized geometry

Calculated values
distance to the lowest polymorph of the same formula	0	meV/atom
D(E_F)	11.9	states/eV/cell
formation enthalpy at 0 K	0.175	eV/atom
final energy	-9.793	eV/atom
space group	P-1 (2)

Lattice parameters (Å, degrees): 3.501 4.769 7.318 96.69 103.85 90.02
Atoms (fractional coordinates):
V 0.415 0.774 0.830
V 0.585 0.226 0.170
U 0.745 0.711 0.489
U 0.255 0.289 0.511
Pa 0.910 0.250 0.821
Pa 0.090 0.750 0.179

***

[3]
Material: UPaV2
Method: DFT, PBE
State: optimized geometry

Calculated values
distance to the lowest polymorph of the same formula	0	meV/atom
D(E_F)	9.0	states/eV/cell
formation enthalpy at 0 K	0.344	eV/atom
final energy	-9.411	eV/atom
space group	P4/mmm (123)

Lattice parameters (Å, degrees): 3.182 3.182 7.386 90.00 90.00 90.00
Atoms (fractional coordinates):
Pa 0.500 0.500 0.500
V 0.000 0.000 0.807
V 0.000 0.000 0.193
U 0.500 0.500 0.000

***

[4]
Material: UPaV2
Method: DFT, PBE
State: optimized geometry

Calculated values
distance to the lowest polymorph of the same formula	234	meV/atom
D(E_F)	9.9	states/eV/cell
formation enthalpy at 0 K	0.578	eV/atom
final energy	-9.177	eV/atom
space group	R-3m (166)

Lattice parameters (Å, degrees): 2.891 2.891 10.435 82.04 82.04 60.00
Atoms (fractional coordinates):
V 0.917 0.917 0.249
V 0.083 0.083 0.751
U 0.000 0.000 0.000
Pa 0.500 0.500 0.500

***

[5]
Material: UPa2V
Method: DFT, PBE
State: optimized geometry

Calculated values
distance to the lowest polymorph of the same formula	180	meV/atom
D(E_F)	8.8	states/eV/cell
formation enthalpy at 0 K	0.365	eV/atom
final energy	-9.485	eV/atom
space group	R-3m (166)

Lattice parameters (Å, degrees): 2.991 2.991 10.934 82.14 82.14 60.00
Atoms (fractional coordinates):
V 0.500 0.500 0.500
Pa 0.910 0.910 0.269
Pa 0.090 0.090 0.731
U 0.000 0.000 0.000

***

[6]
Material: UPaV
Method: DFT, PBE
State: optimized geometry

Calculated values
distance to the lowest polymorph of the same formula	30	meV/atom
D(E_F)	6.9	states/eV/cell
formation enthalpy at 0 K	0.205	eV/atom
final energy	-9.763	eV/atom
space group	P3m1 (156)

Lattice parameters (Å, degrees): 3.096 4.676 4.676 120.00 90.00 90.00
Atoms (fractional coordinates):
U 0.002 0.000 0.000
V 0.306 0.667 0.333
Pa 0.692 0.333 0.667

***

[7]
Material: UPaV2
Method: DFT, PBE
State: optimized geometry

Calculated values
distance to the lowest polymorph of the same formula	49	meV/atom
D(E_F)	8.4	states/eV/cell
formation enthalpy at 0 K	0.394	eV/atom
final energy	-9.362	eV/atom
space group	P4/mmm (123)

Lattice parameters (Å, degrees): 4.699 3.951 3.951 90.00 90.00 90.00
Atoms (fractional coordinates):
U 0.500 0.000 0.000
V 0.000 0.500 0.000
V 0.000 0.000 0.500
Pa 0.500 0.500 0.500

***

[8]
Material: UPaV2
Method: DFT, PBE
State: optimized geometry

Calculated values
distance to the lowest polymorph of the same formula	138	meV/atom
D(E_F)	11.9	states/eV/cell
formation enthalpy at 0 K	0.483	eV/atom
final energy	-9.273	eV/atom
space group	Fm-3m (225)

Lattice parameters (Å, degrees): 4.789 4.789 4.789 60.00 60.00 60.00
Atoms (fractional coordinates):
V 0.250 0.250 0.250
V 0.750 0.750 0.750
U 0.500 0.500 0.500
Pa 0.000 0.000 0.000

***

[9]
Material: UPa2W
Method: DFT, PBE
State: optimized geometry

Calculated values
distance to the lowest polymorph of the same formula	171	meV/atom
D(E_F)	9.1	states/eV/cell
formation enthalpy at 0 K	0.423	eV/atom
final energy	-10.385	eV/atom
space group	R-3m (166)

Lattice parameters (Å, degrees): 2.973 2.973 11.200 82.37 82.37 60.00
Atoms (fractional coordinates):
Pa 0.913 0.913 0.261
Pa 0.087 0.087 0.739
U 0.000 0.000 0.000
W 0.500 0.500 0.500

***

[10]
Material: UPa2W
Method: DFT, PBE
State: optimized geometry

Calculated values
distance to the lowest polymorph of the same formula	0	meV/atom
D(E_F)	9.4	states/eV/cell
formation enthalpy at 0 K	0.252	eV/atom
final energy	-10.556	eV/atom
space group	P4/mmm (123)

Lattice parameters (Å, degrees): 3.487 3.487 7.099 90.00 90.00 90.00
Atoms (fractional coordinates):
U 0.500 0.500 0.000
Pa 0.000 0.000 0.745
Pa 0.000 0.000 0.255
W 0.500 0.500 0.500

***

[11]
Material: UPaZn
Method: DFT, PBE
State: optimized geometry

Calculated values
distance to the lowest polymorph of the same formula	0	meV/atom
D(E_F)	7.1	states/eV/cell
formation enthalpy at 0 K	0.247	eV/atom
final energy	-7.105	eV/atom
space group	I4mm (107)

Lattice parameters (Å, degrees): 3.627 3.627 5.467 109.37 109.37 90.00
Atoms (fractional coordinates):
Pa 0.684 0.684 0.369
Zn 0.000 0.000 0.000
U 0.315 0.315 0.631

***

[12]
Material: UPaZn4
Method: DFT, PBE
State: optimized geometry

Calculated values
D(E_F)	10.3	states/eV/cell
formation enthalpy at 0 K	0.013	eV/atom
final energy	-4.300	eV/atom
space group	F-43m (216)

Lattice parameters (Å, degrees): 5.396 5.396 5.396 60.00 60.00 60.00
Atoms (fractional coordinates):
Zn 0.625 0.625 0.124
Zn 0.625 0.124 0.625
Zn 0.124 0.625 0.625
Zn 0.625 0.625 0.625
U 0.000 0.000 0.000
Pa 0.250 0.250 0.250

***

[13]
Material: UPaZn
Method: DFT, PBE
State: optimized geometry

Calculated values
distance to the lowest polymorph of the same formula	317	meV/atom
D(E_F)	13.3	states/eV/cell
formation enthalpy at 0 K	0.565	eV/atom
final energy	-6.788	eV/atom
space group	Pmma (51)

Lattice parameters (Å, degrees): 5.122 5.079 5.942 90.00 90.00 90.00
Atoms (fractional coordinates):
Pa 0.000 0.500 0.500
Pa 0.000 0.500 0.000
U 0.496 0.500 0.750
U 0.504 0.500 0.250
Zn 0.157 0.000 0.250
Zn 0.843 0.000 0.750

***

[14]
Material: ZrU4Pa
Method: DFT, PBE
State: optimized geometry

Calculated values
D(E_F)	17.4	states/eV/cell
formation enthalpy at 0 K	0.174	eV/atom
final energy	-10.359	eV/atom
space group	F-43m (216)

Lattice parameters (Å, degrees): 5.692 5.692 5.692 60.00 60.00 60.00
Atoms (fractional coordinates):
Zr 0.000 0.000 0.000
U 0.626 0.626 0.626
U 0.626 0.626 0.123
U 0.123 0.626 0.626
U 0.626 0.123 0.626
Pa 0.250 0.250 0.250

***

[15]
Material: PaV5
Method: DFT, PBE
State: optimized geometry

Calculated values
D(E_F)	8.6	states/eV/cell
formation enthalpy at 0 K	0.114	eV/atom
final energy	-9.068	eV/atom
space group	Cmmm (65)

Lattice parameters (Å, degrees): 3.118 4.434 6.871 108.82 90.00 90.00
Atoms (fractional coordinates):
Pa 0.000 0.000 0.000
V 0.000 0.324 0.648
V 0.500 0.830 0.661
V 0.000 0.676 0.352
V 0.500 0.500 0.000
V 0.500 0.170 0.339

***

[16]
Material: PaV3
Method: DFT, PBE
State: optimized geometry

Calculated values
distance to the lowest polymorph of the same formula	259	meV/atom
D(E_F)	5.7	states/eV/cell
formation enthalpy at 0 K	0.331	eV/atom
final energy	-8.882	eV/atom
space group	Pmm2 (25)

Lattice parameters (Å, degrees): 2.747 4.321 5.492 90.00 90.00 90.00
Atoms (fractional coordinates):
Pa 0.000 0.000 0.046
V 0.500 0.500 0.787
V 0.500 0.000 0.526
V 0.000 0.500 0.308

***

[17]
Material: PaV
Method: DFT, PBE
State: optimized geometry

Calculated values
distance to the lowest polymorph of the same formula	0	meV/atom
D(E_F)	4.9	states/eV/cell
formation enthalpy at 0 K	0.185	eV/atom
final energy	-9.122	eV/atom
space group	P2_1/m (11)

Lattice parameters (Å, degrees): 2.934 4.870 5.591 90.00 111.07 90.00
Atoms (fractional coordinates):
V 0.770 0.750 0.391
V 0.230 0.250 0.609
Pa 0.864 0.750 0.858
Pa 0.136 0.250 0.142

***

[18]
Material: PaV
Method: DFT, PBE
State: optimized geometry

Calculated values
distance to the lowest polymorph of the same formula	53	meV/atom
D(E_F)	3.8	states/eV/cell
formation enthalpy at 0 K	0.237	eV/atom
final energy	-9.070	eV/atom
space group	Cmmm (65)

Lattice parameters (Å, degrees): 3.033 3.033 4.460 90.00 90.00 114.06
Atoms (fractional coordinates):
Pa 0.754 0.246 0.500
V 0.253 0.747 0.000

***

[19]
Material: PaV3
Method: DFT, PBE
State: optimized geometry

Calculated values
distance to the lowest polymorph of the same formula	0	meV/atom
D(E_F)	5.5	states/eV/cell
formation enthalpy at 0 K	0.072	eV/atom
final energy	-9.141	eV/atom
space group	Fm-3m (225)

Lattice parameters (Å, degrees): 4.475 4.475 4.475 60.00 60.00 60.00
Atoms (fractional coordinates):
V 0.250 0.250 0.250
V 0.750 0.750 0.750
V 0.000 0.000 0.000
Pa 0.500 0.500 0.500

***

[20]
Material: PaV3
Method: DFT, PBE
State: optimized geometry

Calculated values
distance to the lowest polymorph of the same formula	757	meV/atom
D(E_F)	7.2	states/eV/cell
formation enthalpy at 0 K	0.829	eV/atom
final energy	-8.384	eV/atom
space group	I4/mmm (139)

Lattice parameters (Å, degrees): 3.659 3.659 5.844 108.24 108.24 90.00
Atoms (fractional coordinates):
V 0.718 0.718 0.436
V 0.282 0.282 0.564
V 0.500 0.500 0.000
Pa 0.000 0.000 0.000